The following is a DFT calculation (meta-GGA SCAN) of CoNi2Cl at its PBEsol-relaxed geometry.

extended XYZ file:
```
8
Lattice="4.8716 0.0000 0.0000 0.0000 7.1171 0.0000 0.0000 0.0000 2.6894" Properties=species:S:1:pos:R:3 pbc="T T T"
Co 0.0000 0.0000 0.0000
Co 2.4358 3.5585 0.0000
Ni 1.2179 1.7793 1.3447
Ni 1.2179 5.3378 1.3447
Ni 3.6537 1.7793 1.3447
Ni 3.6537 5.3378 1.3447
Cl 0.0000 3.5585 0.0000
Cl 2.4358 0.0000 0.0000
```

Results
- distance to the lowest polymorph of the same formula (meV/atom) = 486
- space group = Cmmm
- calculated total energy (eV for the cell shown) = -110.03
- N(E_F) (states/eV/cell) = 7.2
- energy relative to the elements, uncorrected (eV/atom) = 0.65
- magnetic moment (μB/cell) = 6.0